PmMg2SnPt4 | GGA-PBE | relaxed

formation energy from the elements	-0.7916	eV/atom

```
data_PmMg2SnPt4
_chemical_formula_sum 'Pm3 Mg6 Sn3 Pt12'
_symmetry_space_group_name_H-M 'R -3 m'
_symmetry_Int_Tables_number 166
_symmetry_space_group_name_Hall '-R 3 2"'
_cell_length_a 4.5624
_cell_length_b 4.5624
_cell_length_c 25.4015
_cell_angle_alpha 90.00
_cell_angle_beta 90.00
_cell_angle_gamma 120.00
loop_
_atom_site_label
_atom_site_type_symbol
_atom_site_fract_x
_atom_site_fract_y
_atom_site_fract_z
_atom_site_occupancy
Pm1 Pm 0.0000 0.0000 0.0000 1
Mg1 Mg 0.0000 0.0000 0.2453 1
Sn1 Sn 0.0000 0.0000 0.5000 1
Pt1 Pt 0.0000 0.0000 0.1279 1
Pt2 Pt 0.0000 0.0000 0.3948 1
```